<1>
The following is a DFT calculation (PBE+U) of a geometry-optimized V3TeO structure.

As for the total moment: 0.169 μB/atom. The volume comes out at 69.6 Å³/cell.

Cell lengths 4.1140, 4.1140, 4.1140 Å; angles 90.00, 90.00, 90.00 degrees
Closest atoms and distances in Å follow each position.
Atoms (fractional coordinates):
V: 0.0000 0.0000 0.5000  2 O 2.06
V: 0.0000 0.5000 0.0000  2 O 2.06
V: 0.5000 0.0000 0.0000  2 O 2.06
Te: 0.5000 0.5000 0.5000  12 V 2.91
O: 0.0000 0.0000 0.0000  6 V 2.06

=====

<2>
The following is a DFT calculation (PBE+U) of a geometry-optimized V3TeO structure.

As for the total moment: 2.179 μB/atom. The volume comes out at 145.7 Å³/cell.

Cell lengths 5.2616, 5.2616, 5.2616 Å; angles 90.00, 90.00, 90.00 degrees
Closest atoms and distances in Å follow each position.
Atoms (fractional coordinates):
V: 0.0000 0.0000 0.5000  2 Te 2.63
V: 0.0000 0.5000 0.0000  2 Te 2.63
V: 0.5000 0.0000 0.0000  2 Te 2.63
Te: 0.0000 0.0000 0.0000  6 V 2.63
O: 0.5000 0.5000 0.5000  12 V 3.72

=====

It turns out <1> is the most stable, with the second structure 1206 meV per atom higher.

=====

<1>
The following is a DFT calculation (PBE+U) of a geometry-optimized Te2WO8 structure.

As for the total moment: 0.066 μB/atom. The volume comes out at 132.5 Å³/cell.

Cell lengths 5.3385, 5.3385, 4.9556 Å; angles 101.07, 101.07, 75.28 degrees
Closest atoms and distances in Å follow each position.
Atoms (fractional coordinates):
Te: 0.1778 0.1778 0.4396  7 O 2.01-2.14
Te: 0.8222 0.8222 0.5604  7 O 2.01-2.14
W: 0.5000 0.5000 0.0000  6 O 1.88-2.08
O: 0.0635 0.0635 0.7537  2 Te 2.02-2.03
O: 0.1654 0.5440 0.7031  1 W 2.08, 2 Te 2.13-2.14
O: 0.3369 0.3369 0.1978  1 W 1.88, 1 Te 2.01
O: 0.4560 0.8346 0.2969  1 W 2.08, 2 Te 2.13-2.14
O: 0.5440 0.1654 0.7031  1 W 2.08, 2 Te 2.13-2.14
O: 0.6631 0.6631 0.8022  1 W 1.88, 1 Te 2.01
O: 0.8346 0.4560 0.2969  1 W 2.08, 2 Te 2.13-2.14
O: 0.9365 0.9365 0.2463  2 Te 2.02-2.03

=====

<2>
The following is a DFT calculation (PBE+U) of a geometry-optimized Te2WO8 structure.

As for the total moment: 0.000 μB/atom. The volume comes out at 149.0 Å³/cell.

Cell lengths 5.6832, 5.6832, 5.1779 Å; angles 106.76, 106.76, 72.57 degrees
Closest atoms and distances in Å follow each position.
Atoms (fractional coordinates):
Te: 0.1600 0.1600 0.2385  5 O 1.94-2.07
Te: 0.8400 0.8400 0.7615  5 O 1.94-2.07
W: 0.5000 0.5000 0.0000  6 O 1.94-1.95
O: 0.0773 0.0773 0.8364  2 Te 1.94-2.07
O: 0.1631 0.5565 0.7626  1 W 1.94, 1 Te 2.05
O: 0.3734 0.3734 0.2324  1 W 1.95, 1 Te 1.97
O: 0.4435 0.8369 0.2374  1 W 1.94, 1 Te 2.05
O: 0.5565 0.1631 0.7626  1 W 1.94, 1 Te 2.05
O: 0.6266 0.6266 0.7676  1 W 1.95, 1 Te 1.97
O: 0.8369 0.4435 0.2374  1 W 1.94, 1 Te 2.05
O: 0.9227 0.9227 0.1636  2 Te 1.94-2.07

=====

It turns out <2> is the most stable, with the second structure 27 meV per atom higher.